# PmPd4Pt

A geometry-optimized PmPd4Pt structure (PBE-GGA, the Alexandria database).

## Properties
**ρ**: 12.16 g/cm³
**Spin magnetization**: 0.0000 μB per atom
**Energy of formation from the pure elements**: -0.527 eV per atom
**Space group**: C2/m

Cell lengths 4.937, 5.023, 5.096 Å; angles 60.47, 81.22, 71.95 degrees
Fractional positions:
Pd (0.000, 0.663, 0.673)
Pd (0.500, 0.821, 0.359)
Pd (0.500, 0.179, 0.641)
Pd (0.000, 0.337, 0.327)
Pm (0.000, 0.000, 0.000)
Pt (0.500, 0.500, 0.000)

# BeSbH3

A geometry-optimized BeSbH3 structure (PBE-GGA, the Alexandria database).

## Properties
**ρ**: 4.99 g/cm³
**Spin magnetization**: 0.0000 μB per atom
**Total energy**: -14.60 eV/f.u.
**Space group**: Pm-3m

Cell lengths 3.545, 3.545, 3.545 Å; angles 90.00, 90.00, 90.00 degrees
Fractional positions:
H (0.000, 0.000, 0.500)
H (0.500, 0.000, 0.000)
H (0.000, 0.500, 0.000)
Be (0.000, 0.000, 0.000)
Sb (0.500, 0.500, 0.500)

# Dy8Tl5Cd

A geometry-optimized Dy8Tl5Cd structure (PBE-GGA, the Alexandria database).

## Properties
**ρ**: 9.97 g/cm³
**Spin magnetization**: 0.0000 μB per atom
**Energy of formation from the pure elements**: -0.223 eV per atom
**Space group**: I-4

Cell lengths 8.077, 8.077, 8.077 Å; angles 109.49, 109.43, 109.49 degrees
Fractional positions:
Tl (0.867, 0.876, 0.246)
Tl (0.500, 0.000, 0.500)
Tl (0.754, 0.621, 0.630)
Tl (0.370, 0.124, 0.991)
Tl (0.009, 0.379, 0.133)
Dy (0.970, 0.104, 0.727)
Dy (0.480, 0.601, 0.237)
Dy (0.121, 0.758, 0.520)
Dy (0.623, 0.896, 0.866)
Dy (0.134, 0.757, 0.030)
Dy (0.637, 0.399, 0.879)
Dy (0.273, 0.243, 0.377)
Dy (0.763, 0.242, 0.363)
Cd (0.250, 0.500, 0.750)

# IrC2

A geometry-optimized IrC2 structure (PBE-GGA, the Alexandria database).

## Properties
**ρ**: 12.74 g/cm³
**Spin magnetization**: 0.0000 μB per atom
**Energy of formation from the pure elements**: 0.598 eV per atom
**Space group**: R-3m

Cell lengths 5.114, 2.578, 4.468 Å; angles 90.00, 106.88, 90.00 degrees
Fractional positions:
C (0.968, 0.500, 0.156)
C (0.032, 0.000, 0.344)
C (0.032, 0.500, 0.844)
C (0.968, 0.000, 0.656)
Ir (0.500, 0.000, 0.500)
Ir (0.500, 0.500, 0.000)

# Rb3Na3As2

A geometry-optimized Rb3Na3As2 structure (PBE-GGA, the Alexandria database).

## Properties
**ρ**: 2.61 g/cm³
**Spin magnetization**: 0.0000 μB per atom
**Energy of formation from the pure elements**: -0.303 eV per atom
**Space group**: Pnma

Cell lengths 6.739, 9.823, 18.243 Å; angles 90.00, 90.00, 90.00 degrees
Fractional positions:
As (0.891, 0.132, 0.106)
As (0.391, 0.368, 0.894)
As (0.391, 0.368, 0.606)
As (0.109, 0.868, 0.606)
As (0.891, 0.132, 0.394)
As (0.109, 0.868, 0.894)
As (0.609, 0.632, 0.394)
As (0.609, 0.632, 0.106)
Na (0.106, 0.154, 0.538)
Na (0.606, 0.346, 0.462)
Na (0.053, 0.153, 0.250)
Na (0.394, 0.654, 0.962)
Na (0.606, 0.346, 0.038)
Na (0.553, 0.347, 0.750)
Na (0.106, 0.154, 0.962)
Na (0.894, 0.846, 0.038)
Na (0.447, 0.653, 0.250)
Na (0.894, 0.846, 0.462)
Na (0.947, 0.847, 0.750)
Na (0.394, 0.654, 0.538)
Rb (0.402, 0.969, 0.398)
Rb (0.902, 0.531, 0.898)
Rb (0.098, 0.469, 0.398)
Rb (0.634, 0.331, 0.250)
Rb (0.134, 0.169, 0.750)
Rb (0.598, 0.031, 0.602)
Rb (0.902, 0.531, 0.602)
Rb (0.098, 0.469, 0.102)
Rb (0.402, 0.969, 0.102)
Rb (0.598, 0.031, 0.898)
Rb (0.366, 0.669, 0.750)
Rb (0.866, 0.831, 0.250)

# CeGa2TcH6

A geometry-optimized CeGa2TcH6 structure (PBE-GGA, the Alexandria database).

## Properties
**ρ**: 6.41 g/cm³
**Spin magnetization**: 0.0672 μB per atom
**Total energy**: -43.28 eV/f.u.
**Space group**: Pnnm

Cell lengths 4.284, 6.043, 7.682 Å; angles 90.00, 90.00, 90.00 degrees
Each line ends with the local moment (μB).
Fractional positions:
H (0.767, 0.310, 0.883)  0.00
H (0.767, 0.690, 0.117)  0.00
H (0.733, 0.190, 0.383)  0.00
H (0.233, 0.310, 0.883)  0.00
H (0.500, 0.284, 0.603)  0.00
H (0.267, 0.810, 0.617)  0.00
H (0.000, 0.216, 0.103)  0.00
H (0.733, 0.810, 0.617)  0.00
H (0.267, 0.190, 0.383)  0.00
H (0.233, 0.690, 0.117)  0.00
H (0.500, 0.716, 0.397)  0.00
H (0.000, 0.784, 0.897)  0.00
Ga (0.000, 0.972, 0.298)  0.00
Ga (0.500, 0.472, 0.202)  0.00
Ga (0.500, 0.528, 0.798)  0.00
Ga (0.000, 0.028, 0.702)  0.00
Tc (0.000, 0.500, 0.000)  -0.01
Tc (0.500, 0.000, 0.500)  -0.01
Ce (0.500, 0.000, 0.000)  0.62
Ce (0.000, 0.500, 0.500)  0.62

# Th3Fe3Te

A geometry-optimized Th3Fe3Te structure (PBE-GGA, the Alexandria database).

## Properties
**ρ**: 10.21 g/cm³
**Spin magnetization**: 0.4939 μB per atom
**Total energy**: -53.05 eV/f.u.
**Space group**: P6_3/m

Cell lengths 3.951, 9.705, 9.705 Å; angles 120.00, 90.00, 90.00 degrees
Each line ends with the local moment (μB).
Fractional positions:
Te (0.250, 0.667, 0.333)  0.00
Te (0.750, 0.333, 0.667)  0.00
Th (0.750, 0.378, 0.322)  -0.14
Th (0.250, 0.056, 0.378)  -0.14
Th (0.250, 0.322, 0.944)  -0.14
Th (0.750, 0.944, 0.622)  -0.14
Th (0.250, 0.622, 0.678)  -0.14
Th (0.750, 0.678, 0.056)  -0.14
Fe (0.750, 0.017, 0.157)  1.39
Fe (0.750, 0.843, 0.860)  1.39
Fe (0.750, 0.140, 0.983)  1.39
Fe (0.250, 0.860, 0.017)  1.39
Fe (0.250, 0.157, 0.140)  1.39
Fe (0.250, 0.983, 0.843)  1.39

# K2RbSnPt

A geometry-optimized K2RbSnPt structure (PBE-GGA, the Alexandria database).

## Properties
**ρ**: 3.83 g/cm³
**Spin magnetization**: 0.0000 μB per atom
**Energy of formation from the pure elements**: -0.170 eV per atom
**Space group**: P4/mmm

Cell lengths 6.326, 6.326, 5.174 Å; angles 90.00, 90.00, 90.00 degrees
Fractional positions:
Sn (0.000, 0.000, 0.500)
K (0.500, 0.000, 0.000)
K (0.000, 0.500, 0.000)
Rb (0.500, 0.500, 0.500)
Pt (0.000, 0.000, 0.000)

# PaGeH2

A geometry-optimized PaGeH2 structure (PBE-GGA, the Alexandria database).

## Properties
**ρ**: 9.68 g/cm³
**Spin magnetization**: 0.0000 μB per atom
**Total energy**: -22.03 eV/f.u.
**Space group**: Cmcm

Cell lengths 3.880, 5.088, 5.658 Å; angles 90.00, 110.08, 90.00 degrees
Fractional positions:
H (0.220, 0.920, 0.440)
H (0.780, 0.420, 0.560)
H (0.780, 0.080, 0.560)
H (0.220, 0.580, 0.440)
Ge (0.944, 0.750, 0.888)
Ge (0.056, 0.250, 0.112)
Pa (0.344, 0.250, 0.689)
Pa (0.656, 0.750, 0.311)

# Pm15Pr4Dy

A geometry-optimized Pm15Pr4Dy structure (PBE-GGA, the Alexandria database).

## Properties
**ρ**: 6.96 g/cm³
**Spin magnetization**: 0.0000 μB per atom
**Energy of formation from the pure elements**: 0.015 eV per atom
**Space group**: P4/mmm

Cell lengths 5.176, 5.176, 25.837 Å; angles 90.00, 90.00, 90.00 degrees
Fractional positions:
Pm (0.000, 0.500, 0.299)
Pm (0.500, 0.500, 0.400)
Pm (0.000, 0.500, 0.098)
Pm (0.000, 0.500, 0.902)
Pm (0.500, 0.000, 0.500)
Pm (0.500, 0.500, 0.600)
Pm (0.000, 0.500, 0.701)
Pm (0.500, 0.500, 0.801)
Pm (0.000, 0.500, 0.500)
Pm (0.500, 0.000, 0.299)
Pm (0.500, 0.000, 0.902)
Pm (0.500, 0.000, 0.098)
Pm (0.500, 0.500, 0.199)
Pm (0.500, 0.000, 0.701)
Pm (0.500, 0.500, 0.000)
Pr (0.000, 0.000, 0.400)
Pr (0.000, 0.000, 0.801)
Pr (0.000, 0.000, 0.199)
Pr (0.000, 0.000, 0.600)
Dy (0.000, 0.000, 0.000)

# Tm2ThTl

A geometry-optimized Tm2ThTl structure (PBE-GGA, the Alexandria database).

## Properties
**ρ**: 10.97 g/cm³
**Spin magnetization**: 0.0000 μB per atom
**Energy of formation from the pure elements**: -0.132 eV per atom
**Space group**: R-3m

Cell lengths 3.547, 3.547, 10.952 Å; angles 80.68, 80.68, 60.00 degrees
Fractional positions:
Tm (0.747, 0.747, 0.759)
Tm (0.253, 0.253, 0.241)
Th (0.500, 0.500, 0.500)
Tl (0.000, 0.000, 0.000)

# Ac12ThCo7

A geometry-optimized Ac12ThCo7 structure (PBE-GGA, the Alexandria database).

## Properties
**ρ**: 8.57 g/cm³
**Spin magnetization**: 0.0000 μB per atom
**Energy of formation from the pure elements**: -0.046 eV per atom
**Space group**: R-3

Cell lengths 9.248, 9.248, 9.248 Å; angles 107.32, 107.32, 107.32 degrees
Fractional positions:
Ac (0.781, 0.926, 0.314)
Ac (0.627, 0.552, 0.844)
Ac (0.448, 0.156, 0.373)
Ac (0.219, 0.074, 0.686)
Ac (0.373, 0.448, 0.156)
Ac (0.552, 0.844, 0.627)
Ac (0.074, 0.686, 0.219)
Ac (0.926, 0.314, 0.781)
Ac (0.686, 0.219, 0.074)
Ac (0.156, 0.373, 0.448)
Ac (0.314, 0.781, 0.926)
Ac (0.844, 0.627, 0.552)
Co (0.023, 0.339, 0.114)
Co (0.500, 0.500, 0.500)
Co (0.339, 0.114, 0.023)
Co (0.886, 0.977, 0.661)
Co (0.661, 0.886, 0.977)
Co (0.114, 0.023, 0.339)
Co (0.977, 0.661, 0.886)
Th (0.000, 0.000, 0.000)

# YHN

A geometry-optimized YHN structure (PBE-GGA, the Alexandria database).

## Properties
**ρ**: 5.39 g/cm³
**Spin magnetization**: 0.0003 μB per atom
**Total energy**: -19.88 eV/f.u.
**Space group**: P6_3/mmc

Cell lengths 3.656, 3.656, 5.528 Å; angles 90.00, 90.00, 120.00 degrees
Fractional positions:
H (0.667, 0.333, 0.750)
H (0.333, 0.667, 0.250)
Y (0.667, 0.334, 0.250)
Y (0.333, 0.666, 0.750)
N (0.000, 0.000, 0.500)
N (0.000, 0.000, 0.000)

# Er9Tm2Sc

A geometry-optimized Er9Tm2Sc structure (PBE-GGA, the Alexandria database).

## Properties
**ρ**: 8.73 g/cm³
**Spin magnetization**: 0.0000 μB per atom
**Energy of formation from the pure elements**: 0.032 eV per atom
**Space group**: P4/mmm

Cell lengths 4.931, 4.931, 14.760 Å; angles 90.00, 90.00, 90.00 degrees
Fractional positions:
Er (0.500, 0.000, 0.163)
Er (0.500, 0.500, 0.000)
Er (0.000, 0.500, 0.500)
Er (0.500, 0.000, 0.500)
Er (0.000, 0.500, 0.163)
Er (0.500, 0.500, 0.669)
Er (0.500, 0.500, 0.331)
Er (0.500, 0.000, 0.837)
Er (0.000, 0.500, 0.837)
Sc (0.000, 0.000, 0.000)
Tm (0.000, 0.000, 0.668)
Tm (0.000, 0.000, 0.332)

# TeIrAuI2

A geometry-optimized TeIrAuI2 structure (PBE-GGA, the Alexandria database).

## Properties
**ρ**: 8.15 g/cm³
**Spin magnetization**: 0.0000 μB per atom
**Total energy**: -15.09 eV/f.u.
**Space group**: P4/mmm

Cell lengths 5.594, 5.594, 5.019 Å; angles 90.00, 90.00, 90.00 degrees
Fractional positions:
I (0.500, 0.000, 0.000)
I (0.000, 0.500, 0.000)
Te (0.000, 0.000, 0.500)
Ir (0.000, 0.000, 0.000)
Au (0.500, 0.500, 0.500)

# MgMo2H

A geometry-optimized MgMo2H structure (PBE-GGA, the Alexandria database).

## Properties
**ρ**: 5.83 g/cm³
**Spin magnetization**: 0.0000 μB per atom
**Total energy**: -24.50 eV/f.u.
**Space group**: I4_1/amd

Cell lengths 5.587, 5.587, 5.597 Å; angles 60.06, 60.06, 90.00 degrees
Fractional positions:
H (0.500, 0.500, 0.000)
H (0.250, 0.750, 0.500)
Mg (0.000, 0.000, 0.000)
Mg (0.750, 0.250, 0.500)
Mo (0.375, 0.625, 0.250)
Mo (0.375, 0.625, 0.750)
Mo (0.375, 0.125, 0.250)
Mo (0.875, 0.625, 0.750)

# Tm6HC3S2

A geometry-optimized Tm6HC3S2 structure (PBE-GGA, the Alexandria database).

## Properties
**ρ**: 8.84 g/cm³
**Spin magnetization**: 0.0000 μB per atom
**Total energy**: -78.79 eV/f.u.
**Space group**: C2/m

Cell lengths 3.614, 7.462, 8.281 Å; angles 105.69, 102.61, 90.00 degrees
Fractional positions:
Tm (0.010, 0.725, 0.020)
Tm (0.676, 0.060, 0.352)
Tm (0.659, 0.604, 0.318)
Tm (0.341, 0.396, 0.682)
Tm (0.324, 0.940, 0.648)
Tm (0.990, 0.275, 0.980)
S (0.837, 0.674, 0.675)
S (0.163, 0.326, 0.325)
C (0.834, 0.166, 0.668)
C (0.500, 0.500, 0.000)
C (0.166, 0.834, 0.332)
H (0.500, 0.000, 0.000)

# Pu8Ge3Au

A geometry-optimized Pu8Ge3Au structure (PBE-GGA, the Alexandria database).

## Properties
**ρ**: 15.59 g/cm³
**Spin magnetization**: 0.8475 μB per atom
**Energy of formation from the pure elements**: -0.287 eV per atom
**Space group**: P1

Cell lengths 9.358, 7.960, 5.213 Å; angles 65.84, 95.44, 132.38 degrees
Each line ends with the local moment (μB).
Fractional positions:
Pu (0.946, 0.536, 0.241)  4.65
Pu (0.554, 0.464, 0.230)  -4.02
Pu (0.794, 0.959, 0.487)  -4.24
Pu (0.203, 0.036, 0.512)  4.09
Pu (0.080, 0.486, 0.746)  5.16
Pu (0.311, 0.964, 0.977)  -4.17
Pu (0.670, 0.018, 0.033)  4.57
Pu (0.443, 0.534, 0.774)  4.00
Ge (0.244, 0.486, 0.271)  -0.05
Ge (0.752, 0.507, 0.733)  -0.04
Ge (0.505, 0.008, 0.499)  -0.02
Au (0.998, 0.003, 0.998)  0.01

# TmHfS4

A geometry-optimized TmHfS4 structure (PBE-GGA, the Alexandria database).

## Properties
**ρ**: 5.37 g/cm³
**Spin magnetization**: 0.0002 μB per atom
**Total energy**: -39.43 eV/f.u.
**Space group**: Cmmm

Cell lengths 3.835, 6.196, 6.196 Å; angles 90.66, 90.00, 90.00 degrees
Fractional positions:
Hf (0.000, 0.500, 0.500)
Tm (0.500, 0.000, 0.000)
S (0.000, 0.211, 0.211)
S (0.000, 0.789, 0.789)
S (0.500, 0.691, 0.309)
S (0.500, 0.309, 0.691)

# BaTi2Ge

A geometry-optimized BaTi2Ge structure (PBE-GGA, the Alexandria database).

## Properties
**ρ**: 4.49 g/cm³
**Spin magnetization**: 0.0000 μB per atom
**Energy of formation from the pure elements**: 0.309 eV per atom
**Space group**: I4_1/amd

Cell lengths 4.846, 4.846, 10.217 Å; angles 76.28, 76.28, 90.00 degrees
Fractional positions:
Ti (0.375, 0.125, 0.250)
Ti (0.875, 0.625, 0.750)
Ti (0.375, 0.625, 0.250)
Ti (0.375, 0.625, 0.750)
Ge (0.500, 0.500, 0.000)
Ge (0.250, 0.750, 0.500)
Ba (0.000, 0.000, 0.000)
Ba (0.750, 0.250, 0.500)

# LaBeAs2

A geometry-optimized LaBeAs2 structure (PBE-GGA, the Alexandria database).

## Properties
**ρ**: 5.99 g/cm³
**Spin magnetization**: 0.0000 μB per atom
**Energy of formation from the pure elements**: -0.338 eV per atom
**Space group**: C2/m

Cell lengths 7.599, 4.499, 4.080 Å; angles 90.31, 57.10, 126.74 degrees
Fractional positions:
La (0.500, 0.500, 0.000)
Be (0.000, 0.500, 0.500)
As (0.000, 0.000, 0.000)
As (0.500, 0.000, 0.500)

# Mn2ZnSb

A geometry-optimized Mn2ZnSb structure (PBE-GGA, the Alexandria database).

## Properties
**ρ**: 7.12 g/cm³
**Spin magnetization**: 1.7181 μB per atom
**Total energy**: -22.39 eV/f.u.
**Space group**: R-3m

Cell lengths 8.589, 8.589, 8.589 Å; angles 20.70, 20.70, 20.70 degrees
Each line ends with the local moment (μB).
Fractional positions:
Mn (0.495, 0.495, 0.495)  3.41
Mn (0.005, 0.005, 0.005)  3.41
Zn (0.750, 0.750, 0.750)  -0.07
Sb (0.250, 0.250, 0.250)  -0.07